# 1
A relaxed SrBTeN2 crystal. Source: Alexandria via LeMat-Bulk, functional PBE.

abc: 4.8033 4.8033 6.7939
angles: 90.00 90.00 90.00
Element x y z (fractional)
Sr 0.0000 0.0000 0.0000
B 0.5000 0.5000 0.5000
Te 0.0000 0.0000 0.5000
N 0.0000 0.5000 0.0000
N 0.5000 0.0000 0.0000

## Properties
space group = P4/mmm, No. 123
M_tot = 0.899 μB/atom
formation energy from raw total energies = 1061 kJ/mol of formula units
ΔE to the lowest computed polymorph = 902 meV per atom

=====

# 2
A relaxed SrBTe2N crystal. Source: Alexandria via LeMat-Bulk, functional PBE.

abc: 6.3084 6.3084 4.3080
angles: 90.00 90.00 90.00
Element x y z (fractional)
Sr 0.0000 0.0000 0.0000
B 0.5000 0.5000 0.5000
Te 0.0000 0.5000 0.0000
Te 0.5000 0.0000 0.0000
N 0.0000 0.0000 0.5000

## Properties
space group = P4/mmm, No. 123
M_tot = 0.000 μB/atom
formation energy from raw total energies = 868 kJ/mol of formula units
ΔE to the lowest computed polymorph = 1985 meV per atom

=====

# 3
A relaxed SrBTeN2 crystal. Source: Alexandria via LeMat-Bulk, functional PBE.

abc: 4.2234 4.2234 4.7019
angles: 90.00 90.00 90.00
Element x y z (fractional)
Sr 0.0000 0.0000 0.0000
B 0.5000 0.5000 0.5000
Te 0.5000 0.5000 0.0000
N 0.0000 0.5000 0.5000
N 0.5000 0.0000 0.5000

## Properties
space group = P4/mmm, No. 123
M_tot = 0.536 μB/atom
formation energy from raw total energies = 626 kJ/mol of formula units
ΔE to the lowest computed polymorph = 0 meV per atom

=====

# 4
A relaxed SrBWN2 crystal. Source: Alexandria via LeMat-Bulk, functional PBE.

abc: 4.1389 4.1389 4.0355
angles: 90.00 90.00 90.00
Element x y z (fractional)
Sr 0.0000 0.0000 0.0000
B 0.5000 0.5000 0.5000
W 0.5000 0.5000 0.0000
N 0.0000 0.5000 0.5000
N 0.5000 0.0000 0.5000

## Properties
space group = P4/mmm, No. 123
M_tot = 0.000 μB/atom
formation energy from raw total energies = 880 kJ/mol of formula units

=====

# 5
A relaxed Ta2BN crystal. Source: Alexandria via LeMat-Bulk, functional PBE.

abc: 5.5588 5.5588 5.5588
angles: 33.36 33.36 33.36
Element x y z (fractional)
Ta 0.2466 0.2466 0.2466
Ta 0.7534 0.7534 0.7534
B 0.5000 0.5000 0.5000
N 0.0000 0.0000 0.0000

## Properties
space group = R-3m, No. 166
M_tot = 0.000 μB/atom
formation energy from raw total energies = -305 kJ/mol of formula units
ΔE to the lowest computed polymorph = 0 meV per atom

=====

# 6
A relaxed TaB6N6 crystal. Source: Alexandria via LeMat-Bulk, functional PBE.

abc: 4.6139 4.6139 4.6139
angles: 90.00 90.00 90.00
Element x y z (fractional)
Ta 0.0000 0.0000 0.0000
B 0.0000 0.2368 0.5000
B 0.0000 0.7632 0.5000
B 0.2368 0.5000 0.0000
B 0.5000 0.0000 0.2368
B 0.5000 0.0000 0.7632
B 0.7632 0.5000 0.0000
N 0.0000 0.5000 0.2519
N 0.0000 0.5000 0.7481
N 0.2519 0.0000 0.5000
N 0.5000 0.2519 0.0000
N 0.5000 0.7481 0.0000
N 0.7481 0.0000 0.5000

## Properties
space group = Pm-3, No. 200
M_tot = 0.000 μB/atom
formation energy from raw total energies = 60 kJ/mol of formula units

=====

# 7
A relaxed TaB3N3 crystal. Source: Alexandria via LeMat-Bulk, functional PBE.

abc: 4.7307 4.7307 4.7307
angles: 90.00 90.00 90.00
Element x y z (fractional)
Ta 0.0000 0.0000 0.0000
Ta 0.5000 0.5000 0.5000
B 0.0000 0.2500 0.5000
B 0.0000 0.7500 0.5000
B 0.2500 0.5000 0.0000
B 0.5000 0.0000 0.2500
B 0.5000 0.0000 0.7500
B 0.7500 0.5000 0.0000
N 0.0000 0.5000 0.2500
N 0.0000 0.5000 0.7500
N 0.2500 0.0000 0.5000
N 0.5000 0.2500 0.0000
N 0.5000 0.7500 0.0000
N 0.7500 0.0000 0.5000

## Properties
space group = Pm-3n, No. 223
M_tot = 0.125 μB/atom
formation energy from raw total energies = 521 kJ/mol of formula units

=====

# 8
A relaxed TaBN crystal. Source: Alexandria via LeMat-Bulk, functional PBE.

abc: 2.7288 2.7288 10.9694
angles: 96.36 96.36 59.95
Element x y z (fractional)
Ta 0.2021 0.2021 0.1239
Ta 0.7979 0.7979 0.8761
B 0.0747 0.0747 0.6859
B 0.9253 0.9253 0.3141
N 0.2629 0.2629 0.3285
N 0.7371 0.7371 0.6715

## Properties
space group = C2/m, No. 12
M_tot = 0.000 μB/atom
formation energy from raw total energies = -122 kJ/mol of formula units

=====

# 9
A relaxed Ta2BN crystal. Source: Alexandria via LeMat-Bulk, functional PBE.

abc: 5.9978 5.9978 5.9978
angles: 132.46 132.46 69.50
Element x y z (fractional)
Ta 0.1100 0.6250 0.9850
Ta 0.3750 0.3600 0.4850
Ta 0.6400 0.1250 0.0150
Ta 0.8750 0.8900 0.5150
B 0.2500 0.7500 0.5000
B 0.5000 0.5000 0.0000
N 0.0000 0.0000 0.0000
N 0.7500 0.2500 0.5000

## Properties
space group = I-42d, No. 122
M_tot = 0.000 μB/atom
formation energy from raw total energies = -112 kJ/mol of formula units
ΔE to the lowest computed polymorph = 500 meV per atom

=====

# 10
A relaxed TaBN3 crystal. Source: Alexandria via LeMat-Bulk, functional PBE.

abc: 3.3675 3.3675 3.3675
angles: 90.00 90.00 90.00
Element x y z (fractional)
Ta 0.0000 0.0000 0.0000
B 0.5000 0.5000 0.5000
N 0.0000 0.5000 0.5000
N 0.5000 0.0000 0.5000
N 0.5000 0.5000 0.0000

## Properties
space group = Pm-3m, No. 221
M_tot = 0.000 μB/atom
formation energy from raw total energies = 275 kJ/mol of formula units

=====

# 11
A relaxed Ta6B3N crystal. Source: Alexandria via LeMat-Bulk, functional PBE.

abc: 9.8010 3.1780 9.9286
angles: 90.00 116.96 90.00
Element x y z (fractional)
Ta 0.0512 0.2500 0.3852
Ta 0.0872 0.2500 0.9352
Ta 0.2636 0.2500 0.7437
Ta 0.2649 0.7500 0.2406
Ta 0.3936 0.7500 0.5585
Ta 0.4325 0.2500 0.0869
Ta 0.5675 0.7500 0.9131
Ta 0.6064 0.2500 0.4415
Ta 0.7351 0.2500 0.7594
Ta 0.7364 0.7500 0.2563
Ta 0.9128 0.7500 0.0648
Ta 0.9488 0.7500 0.6148
B 0.0833 0.2500 0.1653
B 0.1600 0.7500 0.5610
B 0.4891 0.2500 0.7319
B 0.5109 0.7500 0.2681
B 0.8400 0.2500 0.4390
B 0.9167 0.7500 0.8347
N 0.3517 0.7500 0.9147
N 0.6483 0.2500 0.0853

## Properties
space group = P2_1/m, No. 11
M_tot = 0.000 μB/atom
formation energy from raw total energies = -450 kJ/mol of formula units

=====

# 12
A relaxed TaB3N crystal. Source: Alexandria via LeMat-Bulk, functional PBE.

abc: 4.3738 4.3738 4.3738
angles: 90.00 90.00 90.00
Element x y z (fractional)
Ta 0.0000 0.0000 0.0000
B 0.0000 0.0000 0.5000
B 0.0000 0.5000 0.0000
B 0.5000 0.0000 0.0000
N 0.5000 0.5000 0.5000

## Properties
space group = Pm-3m, No. 221
M_tot = 0.397 μB/atom
formation energy from raw total energies = 1322 kJ/mol of formula units
ΔE to the lowest computed polymorph = 1434 meV per atom

=====

# 13
A relaxed TaBN2 crystal. Source: Alexandria via LeMat-Bulk, functional PBE.

abc: 4.6645 4.6645 4.6645
angles: 119.88 119.88 90.21
Element x y z (fractional)
Ta 0.0000 0.0000 0.0000
Ta 0.7500 0.2500 0.5000
B 0.2500 0.7500 0.5000
B 0.5000 0.5000 0.0000
N 0.2296 0.6250 0.1046
N 0.3750 0.4796 0.6046
N 0.5204 0.1250 0.8954
N 0.8750 0.7704 0.3954

## Properties
space group = I-42d, No. 122
M_tot = 0.000 μB/atom
formation energy from raw total energies = -154 kJ/mol of formula units

=====

# 14
A relaxed TaBN2 crystal. Source: Alexandria via LeMat-Bulk, functional PBE.

abc: 5.6513 5.6513 5.6513
angles: 31.08 31.08 31.08
Element x y z (fractional)
Ta 0.0000 0.0000 0.0000
B 0.5000 0.5000 0.5000
N 0.4166 0.4166 0.4166
N 0.5834 0.5834 0.5834

## Properties
space group = R-3m, No. 166
M_tot = 0.000 μB/atom
formation energy from raw total energies = -246 kJ/mol of formula units

=====

# 15
A relaxed TaBN3 crystal. Source: Alexandria via LeMat-Bulk, functional PBE.

abc: 4.0662 4.0662 4.0662
angles: 90.00 90.00 90.00
Element x y z (fractional)
Ta 0.0000 0.0000 0.0000
B 0.5000 0.5000 0.5000
N 0.0000 0.0000 0.5000
N 0.0000 0.5000 0.0000
N 0.5000 0.0000 0.0000

## Properties
space group = Pm-3m, No. 221
M_tot = 0.532 μB/atom
formation energy from raw total energies = 712 kJ/mol of formula units

=====

# 16
A relaxed TaB3N crystal. Source: Alexandria via LeMat-Bulk, functional PBE.

abc: 3.5304 3.5304 3.5304
angles: 90.00 90.00 90.00
Element x y z (fractional)
Ta 0.0000 0.0000 0.0000
B 0.0000 0.5000 0.5000
B 0.5000 0.0000 0.5000
B 0.5000 0.5000 0.0000
N 0.5000 0.5000 0.5000

## Properties
space group = Pm-3m, No. 221
M_tot = 0.000 μB/atom
formation energy from raw total energies = 630 kJ/mol of formula units
ΔE to the lowest computed polymorph = 0 meV per atom

=====

# 17
A relaxed Ta4BN crystal. Source: Alexandria via LeMat-Bulk, functional PBE.

abc: 5.4881 5.4961 5.5594
angles: 90.00 93.62 90.00
Element x y z (fractional)
Ta 0.1347 0.1488 0.1633
Ta 0.1347 0.3512 0.6633
Ta 0.3519 0.6433 0.1306
Ta 0.3519 0.8567 0.6306
Ta 0.6481 0.1433 0.3694
Ta 0.6481 0.3567 0.8694
Ta 0.8653 0.6488 0.3367
Ta 0.8653 0.8512 0.8367
B 0.5000 0.0000 0.0000
B 0.5000 0.5000 0.5000
N 0.0000 0.0000 0.5000
N 0.0000 0.5000 0.0000

## Properties
space group = P2_1/c, No. 14
M_tot = 0.000 μB/atom
formation energy from raw total energies = -277 kJ/mol of formula units

=====

# 18
A relaxed Ta3BN crystal. Source: Alexandria via LeMat-Bulk, functional PBE.

abc: 4.1435 4.1435 4.1435
angles: 90.00 90.00 90.00
Element x y z (fractional)
Ta 0.0000 0.0000 0.5000
Ta 0.0000 0.5000 0.0000
Ta 0.5000 0.0000 0.0000
B 0.5000 0.5000 0.5000
N 0.0000 0.0000 0.0000

## Properties
space group = Pm-3m, No. 221
M_tot = 0.000 μB/atom
formation energy from raw total energies = 105 kJ/mol of formula units
ΔE to the lowest computed polymorph = 0 meV per atom

=====

# 19
A relaxed TaB2N crystal. Source: Alexandria via LeMat-Bulk, functional PBE.

abc: 4.5967 4.5967 4.5967
angles: 111.72 111.72 105.06
Element x y z (fractional)
Ta 0.0000 0.0000 0.0000
Ta 0.7500 0.2500 0.5000
B 0.2377 0.6250 0.1127
B 0.3750 0.4877 0.6127
B 0.5123 0.1250 0.8873
B 0.8750 0.7623 0.3873
N 0.2500 0.7500 0.5000
N 0.5000 0.5000 0.0000

## Properties
space group = I-42d, No. 122
M_tot = 0.000 μB/atom
formation energy from raw total energies = 98 kJ/mol of formula units

=====

# 20
A relaxed TaBN2 crystal. Source: Alexandria via LeMat-Bulk, functional PBE.

abc: 5.9000 5.9000 5.9000
angles: 27.65 27.65 27.65
Element x y z (fractional)
Ta 0.0000 0.0000 0.0000
B 0.5000 0.5000 0.5000
N 0.1175 0.1175 0.1175
N 0.8825 0.8825 0.8825

## Properties
space group = R-3m, No. 166
M_tot = 0.000 μB/atom
formation energy from raw total energies = 292 kJ/mol of formula units

=====

# 21
A relaxed Ta2BN crystal. Source: Alexandria via LeMat-Bulk, functional PBE.

abc: 4.0031 4.0031 4.0031
angles: 60.00 60.00 60.00
Element x y z (fractional)
Ta 0.2500 0.2500 0.2500
Ta 0.7500 0.7500 0.7500
B 0.0000 0.0000 0.0000
N 0.5000 0.5000 0.5000

## Properties
space group = Fm-3m, No. 225
M_tot = 0.000 μB/atom
formation energy from raw total energies = 40 kJ/mol of formula units
ΔE to the lowest computed polymorph = 893 meV per atom

=====

# 22
A relaxed TaBTe2N crystal. Source: Alexandria via LeMat-Bulk, functional PBE.

abc: 5.6827 5.6827 2.8195
angles: 90.00 90.00 90.00
Element x y z (fractional)
Ta 0.0000 0.0000 0.0000
B 0.5000 0.5000 0.5000
Te 0.0000 0.5000 0.5000
Te 0.5000 0.0000 0.5000
N 0.5000 0.5000 0.0000

## Properties
space group = P4/mmm, No. 123
M_tot = 0.000 μB/atom
formation energy from raw total energies = 258 kJ/mol of formula units
ΔE to the lowest computed polymorph = 0 meV per atom

=====

# 23
A relaxed TaBTe2N crystal. Source: Alexandria via LeMat-Bulk, functional PBE.

abc: 5.5331 5.5331 3.8847
angles: 90.00 90.00 90.00
Element x y z (fractional)
Ta 0.0000 0.0000 0.0000
B 0.5000 0.5000 0.5000
Te 0.0000 0.5000 0.0000
Te 0.5000 0.0000 0.0000
N 0.0000 0.0000 0.5000

## Properties
space group = P4/mmm, No. 123
M_tot = 0.000 μB/atom
formation energy from raw total energies = 455 kJ/mol of formula units
ΔE to the lowest computed polymorph = 409 meV per atom

=====

# 24
A relaxed Ta2VBN crystal. Source: Alexandria via LeMat-Bulk, functional PBE.

abc: 4.3452 4.3452 3.7964
angles: 90.00 90.00 90.00
Element x y z (fractional)
Ta 0.0000 0.5000 0.0000
Ta 0.5000 0.0000 0.0000
V 0.0000 0.0000 0.5000
B 0.0000 0.0000 0.0000
N 0.5000 0.5000 0.5000

## Properties
space group = P4/mmm, No. 123
M_tot = 0.000 μB/atom
formation energy from raw total energies = 479 kJ/mol of formula units

=====

# 25
A relaxed Tb2BN2 crystal. Source: Alexandria via LeMat-Bulk, functional PBE.

abc: 7.0012 7.0012 6.2502
angles: 90.00 90.00 154.86
Element x y z (fractional)
Tb 0.0386 0.9614 0.5000
Tb 0.2317 0.7683 0.2000
Tb 0.7683 0.2317 0.7000
Tb 0.9614 0.0386 0.0000
B 0.3793 0.6207 0.4746
B 0.6207 0.3793 0.9746
N 0.1282 0.8718 0.8525
N 0.4207 0.5793 0.6924
N 0.5793 0.4207 0.1924
N 0.8718 0.1282 0.3525

## Properties
space group = Cmc2_1, No. 36
M_tot = 0.000 μB/atom
formation energy from raw total energies = -403 kJ/mol of formula units